Computed, not measured: a geometry-optimized Cs3Np2MnO9 structure at the PBE with a Hubbard U level of DFT.

Cell and atoms, written as CIF:
```
data_Cs3Np2MnO9
_chemical_formula_sum 'Cs3 Np2 Mn1 O9'
_cell_length_a 6.183
_cell_length_b 6.183
_cell_length_c 7.583
_cell_angle_alpha 90.00
_cell_angle_beta 90.00
_cell_angle_gamma 120.00
_space_group_name_H-M_alt 'P 1'
_space_group_IT_number 1
_space_group_name_Hall 'P 1'
loop_
_atom_site_label
_atom_site_fract_x
_atom_site_fract_y
_atom_site_fract_z
_atom_site_occupancy
Cs1 0.333 0.667 0.342 1
Cs2 0.000 0.000 0.000 1
Cs3 0.667 0.333 0.658 1
Np1 0.333 0.667 0.834 1
Np2 0.667 0.333 0.166 1
Mn1 0.000 0.000 0.500 1
O1 0.821 0.179 0.316 1
O2 0.821 0.641 0.316 1
O3 0.359 0.179 0.316 1
O4 0.641 0.821 0.684 1
O5 0.179 0.359 0.684 1
O6 0.179 0.821 0.684 1
O7 0.500 0.000 0.000 1
O8 0.000 0.500 0.000 1
O9 0.500 0.500 0.000 1
```

Computed properties:
Total moment   6.00 μB per cell
Electronic total energy   -7.614 eV per atom